Compound: Ho3Er2Ru2
Source: Alexandria
Functional: PBE
Structure: optimized geometry

Summary:
The value obtained for the electronic total energy is -6.27 eV per atom. For the energy of formation from the pure elements, the calculation gives -2.48 eV per formula unit.

Cell and atoms, written as CIF:
```
data_Ho3Er2Ru2
_chemical_formula_sum 'Ho6 Er4 Ru4'
_cell_length_a 11.810
_cell_length_b 3.869
_cell_length_c 8.393
_cell_angle_alpha 90.00
_cell_angle_beta 113.43
_cell_angle_gamma 90.00
_space_group_name_H-M_alt 'C 1 2/m 1'
_space_group_IT_number 12
_space_group_name_Hall '-C 2y'
loop_
_atom_site_label
_atom_site_fract_x
_atom_site_fract_y
_atom_site_fract_z
Ho1 0.000 0.000 0.000
Ho2 0.122 0.000 0.429
Er1 0.165 0.500 0.812
Ru1 0.179 0.500 0.220
```

Compound: Ho6Er2Ru
Source: Alexandria
Functional: PBE
Structure: optimized geometry

Summary:
The value obtained for the electronic total energy is -5.16 eV per atom. For the energy of formation from the pure elements, the calculation gives -0.60 eV per formula unit.

Cell and atoms, written as CIF:
```
data_Ho6Er2Ru
_chemical_formula_sum 'Ho6 Er2 Ru1'
_cell_length_a 8.562
_cell_length_b 3.649
_cell_length_c 8.638
_cell_angle_alpha 90.00
_cell_angle_beta 93.46
_cell_angle_gamma 90.00
_space_group_name_H-M_alt 'P 1 2/m 1'
_space_group_IT_number 10
_space_group_name_Hall '-P 2y'
loop_
_atom_site_label
_atom_site_fract_x
_atom_site_fract_y
_atom_site_fract_z
Ho1 0.037 0.000 0.198
Ho2 0.233 0.500 0.553
Ho3 0.444 0.000 0.281
Er1 0.300 0.500 0.967
Ru1 0.000 0.000 0.500
```